Rb3ThPb2Se6 | Alexandria | PBE | relaxed; crystal system = monoclinic; formation energy without anion corrections = -1.11 eV/atom; size of the total moment = 0.00 μB/f.u.
1.0
-4.194 5.701 2.917
1.435 -6.235 4.203
7.579 3.625 0.472
Pb Se Th Rb
2 6 1 3
Direct
0.666 0.334 0.000
0.334 0.666 0.000
0.932 0.613 0.797
0.613 0.932 0.797
0.068 0.387 0.203
0.749 0.749 0.205
0.251 0.251 0.795
0.387 0.068 0.203
0.000 0.000 0.000
0.172 0.828 0.500
0.828 0.172 0.500
0.500 0.500 0.500